Ca2CrF6: optimized geometry, GGA+U.

a b c (Å): 5.0738 5.0738 10.6992
angles (deg): 90.00 90.00 90.00
Closest atoms and distances in Å follow each position.
Space group P4_2/mnm (No. 136)
Asymmetric unit:
Ca: 0.0000 0.0000 0.1661  6 F 2.23-2.35
Cr: 0.0000 0.0000 0.5000  6 F 2.06-2.21
F: 0.1888 0.1888 0.3368  1 Cr 2.21, 2 Ca 2.23-2.27
F: 0.2132 0.2132 0.0000  1 Cr 2.06

**Relative energy among the computed polymorphs**: 0.0 meV/atom
**V**: 138 Å³/f.u.
**Total magnetic moment**: 4.00 μB per formula unit